{
  "formula": "Rb3LaBr6",
  "functional": "meta-GGA SCAN",
  "state": "PBEsol geometry",
  "lattice": [[8.580, 0.000, 0.000], [4.290, 7.431, 0.000], [4.290, 2.477, 7.006]],
  "species": ["Rb", "Rb", "Rb", "Br", "Br", "Br", "Br", "Br", "Br", "La"],
  "frac_coords": [[0.500, 0.500, 0.500], [0.250, 0.250, 0.250], [0.750, 0.750, 0.750], [0.762, 0.238, 0.238], [0.238, 0.762, 0.762], [0.762, 0.238, 0.762], [0.238, 0.762, 0.238], [0.762, 0.762, 0.238], [0.238, 0.238, 0.762], [0.000, 0.000, 0.000]],
  "crystal_system": "cubic",
  "formation_energy_uncorrected_mev_per_atom": -1995,
  "total_magnetization_mub_per_cell": 0.00,
  "sg": "Fm-3m (225)",
  "n_ef_per_ev_cell": 0.0,
  "density_g_cm3": 3.25
}